Here is an optimized crystal structure of Ca6Ga2Hg from Alexandria. Energies are from PBE-GGA.

a b c (Å): 9.062 9.062 9.062
angles (deg): 104.62 110.86 113.05
Sites, in units of the cell vectors:
Ca1 0.547 0.726 0.821
Ca2 0.453 0.274 0.179
Ca3 0.095 0.274 0.821
Ca4 0.905 0.726 0.179
Ca5 0.806 0.752 0.558
Ca6 0.194 0.248 0.442
Ca7 0.194 0.752 0.947
Ca8 0.806 0.248 0.053
Ca9 0.690 0.356 0.666
Ca10 0.310 0.644 0.334
Ca11 0.310 0.976 0.666
Ca12 0.690 0.024 0.334
Ga1 0.500 0.384 0.884
Ga2 0.500 0.616 0.116
Ga3 0.664 0.000 0.664
Ga4 0.336 0.000 0.336
Hg1 0.000 0.500 0.500
Hg2 0.000 0.000 0.000

The calculation puts the formation energy at -0.330 eV per atom. For the total magnetic moment, the calculation gives 0.000 μB per cell.